First-principles (PBE) data for an optimized crystal structure of ZnPBr2, as listed in the Alexandria database.

- Space group: No. 65
- Formation energy without anion corrections: 283 meV per atom
- Energy above the most stable polymorph in this dataset: 550.2 meV/atom

abc: 5.090 5.090 3.855
angles: 90.00 90.00 98.31
Sites, in units of the cell vectors:
1 Zn 0.000 0.000 0.000
2 P 0.500 0.500 0.000
3 Br 0.261 0.739 0.500
4 Br 0.739 0.261 0.500